Entry 1:
# SrP2Os (PBEsol, optimized geometry)
data_SrP2Os
_chemical_formula_sum 'Sr1 P2 Os1'
_cell_length_a 4.165
_cell_length_b 6.098
_cell_length_c 6.098
_cell_angle_alpha 36.35
_cell_angle_beta 90.00
_cell_angle_gamma 90.00
_space_group_name_H-M_alt 'P 1'
_space_group_IT_number 1
loop_
_space_group_symop_operation_xyz
'x,y,z'
loop_
_atom_site_label
_atom_site_fract_x
_atom_site_fract_y
_atom_site_fract_z
_atom_site_occupancy
Sr1 0.000 0.000 0.000 1
P1 0.000 0.298 0.298 1
P2 0.500 0.620 0.620 1
Os1 0.500 0.226 0.226 1
# ΔE to the lowest computed polymorph ... 0.00 eV per formula unit
# Energy relative to the elements ... -0.404 eV per atom
# E_tot ... -27.3 eV/cell
# Symmetry ... Amm2
# Density of states at the Fermi level ... 0.576 states/eV/atom


Entry 2:
# SrP2Os (PBEsol, optimized geometry)
data_SrP2Os
_chemical_formula_sum 'Sr1 P2 Os1'
_cell_length_a 3.073
_cell_length_b 3.073
_cell_length_c 7.060
_cell_angle_alpha 90.00
_cell_angle_beta 90.00
_cell_angle_gamma 90.00
_space_group_name_H-M_alt 'P 1'
_space_group_IT_number 1
loop_
_space_group_symop_operation_xyz
'x,y,z'
loop_
_atom_site_label
_atom_site_fract_x
_atom_site_fract_y
_atom_site_fract_z
_atom_site_occupancy
Sr1 0.000 0.000 0.000 1
P1 0.500 0.500 0.307 1
P2 0.500 0.500 0.693 1
Os1 0.000 0.000 0.500 1
# ΔE to the lowest computed polymorph ... 1.00 eV per formula unit
# Energy relative to the elements ... -0.153 eV per atom
# E_tot ... -26.3 eV/cell
# Symmetry ... P4/mmm
# Density of states at the Fermi level ... 0.561 states/eV/atom


Entry 3:
# SrP2Os2 (PBEsol, optimized geometry)
data_SrP2Os2
_chemical_formula_sum 'Sr1 P2 Os2'
_cell_length_a 6.193
_cell_length_b 6.193
_cell_length_c 6.193
_cell_angle_alpha 141.82
_cell_angle_beta 141.82
_cell_angle_gamma 55.11
_space_group_name_H-M_alt 'P 1'
_space_group_IT_number 1
loop_
_space_group_symop_operation_xyz
'x,y,z'
loop_
_atom_site_label
_atom_site_fract_x
_atom_site_fract_y
_atom_site_fract_z
_atom_site_occupancy
Sr1 0.000 0.000 0.000 1
P1 0.354 0.354 0.000 1
P2 0.646 0.646 0.000 1
Os1 0.250 0.750 0.500 1
Os2 0.750 0.250 0.500 1
# Energy relative to the elements ... -0.665 eV per atom
# E_tot ... -41.2 eV/cell
# Symmetry ... I4/mmm
# Density of states at the Fermi level ... 0.392 states/eV/atom


Entry 4:
# SrPOs2 (PBEsol, optimized geometry)
data_SrPOs2
_chemical_formula_sum 'Sr1 P1 Os2'
_cell_length_a 4.463
_cell_length_b 4.463
_cell_length_c 4.463
_cell_angle_alpha 114.55
_cell_angle_beta 114.55
_cell_angle_gamma 99.74
_space_group_name_H-M_alt 'P 1'
_space_group_IT_number 1
loop_
_space_group_symop_operation_xyz
'x,y,z'
loop_
_atom_site_label
_atom_site_fract_x
_atom_site_fract_y
_atom_site_fract_z
_atom_site_occupancy
Sr1 0.000 0.000 0.000 1
P1 0.250 0.750 0.500 1
Os1 0.500 0.500 0.000 1
Os2 0.750 0.250 0.500 1
# Energy relative to the elements ... 0.922 eV per atom
# E_tot ... -28.4 eV/cell
# Symmetry ... I-4m2
# Density of states at the Fermi level ... 1.097 states/eV/atom


Entry 5:
# Sr2POs (PBEsol, optimized geometry)
data_Sr2POs
_chemical_formula_sum 'Sr2 P1 Os1'
_cell_length_a 2.896
_cell_length_b 5.417
_cell_length_c 6.006
_cell_angle_alpha 90.00
_cell_angle_beta 90.00
_cell_angle_gamma 90.00
_space_group_name_H-M_alt 'P 1'
_space_group_IT_number 1
loop_
_space_group_symop_operation_xyz
'x,y,z'
loop_
_atom_site_label
_atom_site_fract_x
_atom_site_fract_y
_atom_site_fract_z
_atom_site_occupancy
Sr1 0.000 0.000 0.000 1
Sr2 0.500 0.500 0.500 1
P1 0.000 0.000 0.500 1
Os1 0.500 0.500 0.000 1
# Energy relative to the elements ... 0.510 eV per atom
# E_tot ... -19.6 eV/cell
# Symmetry ... Pmmm
# Density of states at the Fermi level ... 1.069 states/eV/atom


Entry 6:
# SrPOs2 (PBEsol, optimized geometry)
data_SrPOs2
_chemical_formula_sum 'Sr1 P1 Os2'
_cell_length_a 2.884
_cell_length_b 3.654
_cell_length_c 6.798
_cell_angle_alpha 90.00
_cell_angle_beta 90.00
_cell_angle_gamma 90.00
_space_group_name_H-M_alt 'P 1'
_space_group_IT_number 1
loop_
_space_group_symop_operation_xyz
'x,y,z'
loop_
_atom_site_label
_atom_site_fract_x
_atom_site_fract_y
_atom_site_fract_z
_atom_site_occupancy
Sr1 0.000 0.000 0.000 1
P1 0.500 0.500 0.693 1
Os1 0.000 0.000 0.518 1
Os2 0.500 0.500 0.345 1
# Energy relative to the elements ... 0.258 eV per atom
# E_tot ... -31.0 eV/cell
# Symmetry ... Pmm2
# Density of states at the Fermi level ... 0.843 states/eV/atom


Entry 7:
# Sr2POs (PBEsol, optimized geometry)
data_Sr2POs
_chemical_formula_sum 'Sr2 P1 Os1'
_cell_length_a 5.309
_cell_length_b 5.309
_cell_length_c 5.309
_cell_angle_alpha 129.06
_cell_angle_beta 129.06
_cell_angle_gamma 74.91
_space_group_name_H-M_alt 'P 1'
_space_group_IT_number 1
loop_
_space_group_symop_operation_xyz
'x,y,z'
loop_
_atom_site_label
_atom_site_fract_x
_atom_site_fract_y
_atom_site_fract_z
_atom_site_occupancy
Sr1 0.250 0.750 0.500 1
Sr2 0.750 0.250 0.500 1
P1 0.000 0.000 0.000 1
Os1 0.500 0.500 0.000 1
# Energy relative to the elements ... 0.356 eV per atom
# E_tot ... -20.3 eV/cell
# Symmetry ... I4/mmm
# Density of states at the Fermi level ... 1.118 states/eV/atom


Entry 8:
# Ta2POs (PBEsol, optimized geometry)
data_Ta2POs
_chemical_formula_sum 'Ta2 P1 Os1'
_cell_length_a 4.526
_cell_length_b 4.526
_cell_length_c 3.086
_cell_angle_alpha 90.00
_cell_angle_beta 90.00
_cell_angle_gamma 104.24
_space_group_name_H-M_alt 'P 1'
_space_group_IT_number 1
loop_
_space_group_symop_operation_xyz
'x,y,z'
loop_
_atom_site_label
_atom_site_fract_x
_atom_site_fract_y
_atom_site_fract_z
_atom_site_occupancy
Ta1 0.000 0.500 0.000 1
Ta2 0.500 0.000 0.000 1
P1 0.000 0.000 0.500 1
Os1 0.500 0.500 0.500 1
# Energy relative to the elements ... -0.233 eV per atom
# E_tot ... -44.0 eV/cell
# Symmetry ... Cmmm
# Density of states at the Fermi level ... 0.630 states/eV/atom


Entry 9:
# Ta2POs (PBEsol, optimized geometry)
data_Ta2POs
_chemical_formula_sum 'Ta2 P1 Os1'
_cell_length_a 3.932
_cell_length_b 3.932
_cell_length_c 3.926
_cell_angle_alpha 90.00
_cell_angle_beta 90.00
_cell_angle_gamma 90.00
_space_group_name_H-M_alt 'P 1'
_space_group_IT_number 1
loop_
_space_group_symop_operation_xyz
'x,y,z'
loop_
_atom_site_label
_atom_site_fract_x
_atom_site_fract_y
_atom_site_fract_z
_atom_site_occupancy
Ta1 0.000 0.500 0.000 1
Ta2 0.500 0.000 0.000 1
P1 0.000 0.000 0.500 1
Os1 0.500 0.500 0.500 1
# Energy relative to the elements ... -0.057 eV per atom
# E_tot ... -43.3 eV/cell
# Symmetry ... P4/mmm
# Density of states at the Fermi level ... 0.673 states/eV/atom


Entry 10:
# Ta2POs (PBEsol, optimized geometry)
data_Ta2POs
_chemical_formula_sum 'Ta2 P1 Os1'
_cell_length_a 4.482
_cell_length_b 4.482
_cell_length_c 3.061
_cell_angle_alpha 90.00
_cell_angle_beta 90.00
_cell_angle_gamma 90.00
_space_group_name_H-M_alt 'P 1'
_space_group_IT_number 1
loop_
_space_group_symop_operation_xyz
'x,y,z'
loop_
_atom_site_label
_atom_site_fract_x
_atom_site_fract_y
_atom_site_fract_z
_atom_site_occupancy
Ta1 0.000 0.500 0.000 1
Ta2 0.500 0.000 0.000 1
P1 0.000 0.000 0.500 1
Os1 0.500 0.500 0.500 1
# Energy relative to the elements ... -0.119 eV per atom
# E_tot ... -43.6 eV/cell
# Symmetry ... P4/mmm
# Density of states at the Fermi level ... 1.042 states/eV/atom


Entry 11:
# Ta2POs (PBEsol, optimized geometry)
data_Ta2POs
_chemical_formula_sum 'Ta2 P1 Os1'
_cell_length_a 8.829
_cell_length_b 8.829
_cell_length_c 8.829
_cell_angle_alpha 18.75
_cell_angle_beta 18.75
_cell_angle_gamma 18.75
_space_group_name_H-M_alt 'P 1'
_space_group_IT_number 1
loop_
_space_group_symop_operation_xyz
'x,y,z'
loop_
_atom_site_label
_atom_site_fract_x
_atom_site_fract_y
_atom_site_fract_z
_atom_site_occupancy
Ta1 0.000 0.000 0.000 1
Ta2 0.236 0.236 0.236 1
P1 0.488 0.488 0.488 1
Os1 0.755 0.755 0.755 1
# Energy relative to the elements ... 0.007 eV per atom
# E_tot ... -43.1 eV/cell
# Symmetry ... R3m
# Density of states at the Fermi level ... 0.772 states/eV/atom


Entry 12:
# Ta2POs (PBEsol, optimized geometry)
data_Ta2POs
_chemical_formula_sum 'Ta2 P1 Os1'
_cell_length_a 7.548
_cell_length_b 7.548
_cell_length_c 7.548
_cell_angle_alpha 24.32
_cell_angle_beta 24.32
_cell_angle_gamma 24.32
_space_group_name_H-M_alt 'P 1'
_space_group_IT_number 1
loop_
_space_group_symop_operation_xyz
'x,y,z'
loop_
_atom_site_label
_atom_site_fract_x
_atom_site_fract_y
_atom_site_fract_z
_atom_site_occupancy
Ta1 0.242 0.242 0.242 1
Ta2 0.758 0.758 0.758 1
P1 0.500 0.500 0.500 1
Os1 0.000 0.000 0.000 1
# Energy relative to the elements ... -0.068 eV per atom
# E_tot ... -43.4 eV/cell
# Symmetry ... R-3m
# Density of states at the Fermi level ... 0.874 states/eV/atom


Entry 13:
# Tc2POs (PBEsol, optimized geometry)
data_Tc2POs
_chemical_formula_sum 'Tc2 P1 Os1'
_cell_length_a 4.706
_cell_length_b 4.706
_cell_length_c 4.338
_cell_angle_alpha 92.85
_cell_angle_beta 92.85
_cell_angle_gamma 34.68
_space_group_name_H-M_alt 'P 1'
_space_group_IT_number 1
loop_
_space_group_symop_operation_xyz
'x,y,z'
loop_
_atom_site_label
_atom_site_fract_x
_atom_site_fract_y
_atom_site_fract_z
_atom_site_occupancy
Tc1 0.230 0.230 0.245 1
Tc2 0.770 0.770 0.755 1
P1 0.000 0.000 0.500 1
Os1 0.500 0.500 0.000 1
# Energy relative to the elements ... 0.054 eV per atom
# E_tot ... -40.3 eV/cell
# Symmetry ... C2/m
# Density of states at the Fermi level ... 0.866 states/eV/atom


Entry 14:
# Tc2POs (PBEsol, optimized geometry)
data_Tc2POs
_chemical_formula_sum 'Tc2 P1 Os1'
_cell_length_a 2.836
_cell_length_b 2.836
_cell_length_c 6.529
_cell_angle_alpha 90.00
_cell_angle_beta 90.00
_cell_angle_gamma 90.00
_space_group_name_H-M_alt 'P 1'
_space_group_IT_number 1
loop_
_space_group_symop_operation_xyz
'x,y,z'
loop_
_atom_site_label
_atom_site_fract_x
_atom_site_fract_y
_atom_site_fract_z
_atom_site_occupancy
Tc1 0.000 0.000 0.000 1
Tc2 0.500 0.500 0.281 1
P1 0.500 0.500 0.789 1
Os1 0.000 0.000 0.562 1
# Energy relative to the elements ... -0.211 eV per atom
# E_tot ... -41.4 eV/cell
# Symmetry ... P4mm
# Density of states at the Fermi level ... 0.547 states/eV/atom


Entry 15:
# Tc2POs (PBEsol, optimized geometry)
data_Tc2POs
_chemical_formula_sum 'Tc2 P1 Os1'
_cell_length_a 2.812
_cell_length_b 3.881
_cell_length_c 4.942
_cell_angle_alpha 90.00
_cell_angle_beta 90.00
_cell_angle_gamma 90.00
_space_group_name_H-M_alt 'P 1'
_space_group_IT_number 1
loop_
_space_group_symop_operation_xyz
'x,y,z'
loop_
_atom_site_label
_atom_site_fract_x
_atom_site_fract_y
_atom_site_fract_z
_atom_site_occupancy
Tc1 0.000 0.000 0.243 1
Tc2 0.000 0.000 0.757 1
P1 0.500 0.500 0.000 1
Os1 0.500 0.500 0.500 1
# Energy relative to the elements ... 0.064 eV per atom
# E_tot ... -40.3 eV/cell
# Symmetry ... Pmmm
# Density of states at the Fermi level ... 0.881 states/eV/atom